The following is a GGA-PBE calculation of a geometry-optimized LaAg2Mo2 structure, from Alexandria.

Uncorrected energy = -6.055 eV/atom
DFT formation energy = 0.403 eV per atom
Total moment = 0.0 μB/f.u.
Calculated density = 8.7 Mg/m³

a = 7.6530 Å, b = 7.6530 Å, c = 7.6530 Å
α = 151.05°, β = 151.05°, γ = 41.41°
Closest atoms and distances in Å follow each position.
Fractional coordinates of all 5 atoms:
La: 0.0000 0.0000 0.0000  8 Ag 3.07
Ag: 0.3988 0.3988 0.0000  4 Mo 2.86, 1 Ag 2.90, 4 La 3.07
Ag: 0.6012 0.6012 0.0000  4 Mo 2.86, 1 Ag 2.90, 4 La 3.07
Mo: 0.2500 0.7500 0.5000  4 Mo 2.71, 4 Ag 2.86
Mo: 0.7500 0.2500 0.5000  4 Mo 2.71, 4 Ag 2.86